[1]
The following is a GGA-PBE calculation of TaBeHg2 after structural relaxation, from Alexandria.

```
4
Lattice="3.0111 0.0000 0.0000 0.0000 4.2691 0.0000 -1.3969 0.0000 5.5055" Properties=species:S:1:pos:R:3 pbc="T T T"
Ta 0.0000 0.0000 0.0000
Be 0.8071 0.0000 2.7528
Hg 0.0947 2.1345 4.0409
Hg 1.5195 2.1345 1.4646
```

Summary:
calculated volume = 17.69 Å³ per atom
N(E_F) = 2.48 states/eV/cell
ΔH_f (0 K) = 546 meV per atom
raw total energy = -3.499 eV/atom

---

[2]
The following is a GGA-PBE calculation of Ta2BeHg after structural relaxation, from Alexandria.

```
8
Lattice="5.7352 0.0000 0.0000 0.0000 3.3066 0.0000 -1.9011 0.0000 7.2860" Properties=species:S:1:pos:R:3 pbc="T T T"
Ta 0.9571 0.0000 1.2963
Ta 0.0094 1.6533 5.9898
Ta 3.8247 1.6533 1.2963
Ta 2.8769 0.0000 5.9898
Be 0.0000 1.6533 0.0000
Be 2.8676 0.0000 0.0000
Hg -0.9505 0.0000 3.6430
Hg 1.9170 1.6533 3.6430
```

Summary:
polymorph energy (0 for the lowest one) = 0.210 eV per atom
calculated volume = 17.27 Å³ per atom
N(E_F) = 5.97 states/eV/cell
ΔH_f (0 K) = 371 meV per atom
raw total energy = -6.562 eV/atom

---

[3]
The following is a GGA-PBE calculation of TaBeHg2 after structural relaxation, from Alexandria.

```
16
Lattice="7.2109 0.0000 0.0000 0.0000 7.2109 0.0000 0.0000 0.0000 5.5953" Properties=species:S:1:pos:R:3 pbc="T T T"
Ta 0.0000 0.0000 0.0000
Ta 0.0000 3.6054 1.3988
Ta 3.6054 0.0000 4.1965
Ta 3.6054 3.6054 2.7977
Be 0.0000 0.0000 2.7977
Be 0.0000 3.6054 4.1965
Be 3.6054 0.0000 1.3988
Be 3.6054 3.6054 0.0000
Hg 1.4316 5.4082 3.4971
Hg 1.8027 1.4316 2.0982
Hg 1.8027 2.1739 4.8959
Hg 2.1739 5.4082 0.6994
Hg 5.0370 1.8027 0.6994
Hg 5.4082 5.0370 4.8959
Hg 5.4082 5.7793 2.0982
Hg 5.7793 1.8027 3.4971
```

Summary:
calculated volume = 18.18 Å³ per atom
N(E_F) = 19.25 states/eV/cell
ΔH_f (0 K) = 687 meV per atom
raw total energy = -3.359 eV/atom

---

[4]
The following is a GGA-PBE calculation of Ta2BeHg after structural relaxation, from Alexandria.

```
4
Lattice="3.4046 0.0000 0.0000 0.0000 3.4046 0.0000 0.0000 0.0000 6.0274" Properties=species:S:1:pos:R:3 pbc="T T T"
Ta 0.0000 0.0000 0.0000
Ta 1.7023 1.7023 1.3137
Be 0.0000 0.0000 2.5580
Hg 1.7023 1.7023 4.1388
```

Summary:
polymorph energy (0 for the lowest one) = 0.176 eV per atom
calculated volume = 17.47 Å³ per atom
N(E_F) = 2.89 states/eV/cell
ΔH_f (0 K) = 337 meV per atom
raw total energy = -6.596 eV/atom

---

- Which of these has the lowest N(E_F)?
  number 1

---

- The highest N(E_F) belongs to which entry?
  number 3

---

- Among the records above, which one has the highest N(E_F)?
  number 3